First-principles (PBE) data for a geometry-optimized KScZnIr2 structure, as listed in the Alexandria database.

a = 4.8043 Å, b = 4.7559 Å, c = 4.8043 Å
α = 90.00°, β = 90.00°, γ = 90.00°
Fractional coordinates of all 5 atoms:
Sc  0.5000  0.5000  0.5000
Zn  0.0000  0.5000  0.0000
Ir  0.0000  0.0000  0.5000
Ir  0.5000  0.0000  0.0000
K  0.0000  0.0000  0.0000

## Properties
Total moment ... 0.00 μB per formula unit
Electronic total energy ... -3.3862 eV per atom